Material: TaNb2Ga3
Method: DFT, PBE-GGA
State: relaxed

Computed properties:
Its total energy is -6.936 eV per atom. As for the space group: Cmmm. For the formation energy, the calculation gives -0.09 eV per atom.

a = 5.612 Å, b = 7.712 Å, c = 7.712 Å
α = 143.06°, β = 90.00°, γ = 90.00°
Element x y z (fractional)
Ta  0.720  0.000  0.000
Ta  0.220  0.000  0.000
Nb  0.720  0.333  0.666
Nb  0.220  0.334  0.667
Nb  0.220  0.667  0.334
Nb  0.720  0.666  0.333
Ga  0.470  0.167  0.833
Ga  0.970  0.167  0.833
Ga  0.470  0.500  0.500
Ga  0.970  0.500  0.500
Ga  0.970  0.833  0.167
Ga  0.470  0.833  0.167

Material: SrBNO2
Method: DFT, PBE-GGA
State: relaxed

Computed properties:
Its total energy is -3.794 eV per atom. As for the space group: P4/mmm. The value obtained for the formation energy from raw total energies is 1.526 eV/atom.

a = 4.642 Å, b = 4.642 Å, c = 5.023 Å
α = 90.00°, β = 90.00°, γ = 90.00°
Each line ends with the local moment (μB).
Element x y z (fractional)
Sr  0.000  0.000  0.000  0.03
B  0.500  0.500  0.500  -0.04
O  0.000  0.500  0.000  0.09
O  0.500  0.000  0.000  0.09
N  0.000  0.000  0.500  1.60

Material: KLiZn2Au
Method: DFT, PBE-GGA
State: relaxed

Computed properties:
Its total energy is -1.908 eV per atom. As for the space group: P4/mmm. For the formation energy, the calculation gives -0.14 eV per atom.

a = 5.012 Å, b = 5.012 Å, c = 5.141 Å
α = 90.00°, β = 90.00°, γ = 90.00°
Element x y z (fractional)
Zn  0.000  0.500  0.000
Zn  0.500  0.000  0.000
Au  0.000  0.000  0.000
K  0.500  0.500  0.500
Li  0.000  0.000  0.500